(1)
Below is a relaxed NaHf2Sb2 crystal, with properties calculated at the GGA-PBE level.

Values from the calculation:
* raw formation energy: -0.23 eV per atom
* energy relative to the lowest polymorph listed for this composition: 55.8 meV per atom

Unit cell a=4.578 b=4.578 c=13.401 alpha=90.00 beta=90.00 gamma=90.00
Space group I4/mmm (No. 139)
Inequivalent atoms, fractional coordinates:
Na1 0.000 0.000 0.000 x2
Hf1 0.000 0.500 0.250 x4
Sb1 0.000 0.000 0.380 x4



(2)
Below is a relaxed NaHf2Sb2 crystal, with properties calculated at the GGA-PBE level.

Values from the calculation:
* raw formation energy: -0.29 eV per atom
* energy relative to the lowest polymorph listed for this composition: 0.0 meV per atom

Unit cell a=8.036 b=8.036 c=3.711 alpha=90.00 beta=90.00 gamma=90.00
Space group P4/mbm (No. 127)
Inequivalent atoms, fractional coordinates:
Na1 0.000 0.000 0.000 x2
Hf1 0.137 0.363 0.500 x4
Sb1 0.153 0.653 0.000 x4